No. 1
First-principles (GGA-PBEsol) data for an optimized crystal structure of ScNb2CuAg, as listed in Alexandria via LeMat-Bulk.

Geometry as POSCAR:
```
ScNb2CuAg
1.0
-0.583 -1.977 -4.161
4.490 -1.182 -0.067
-1.051 -4.109 2.100
Cu Nb Sc Ag
1 2 1 1
Direct
0.000 0.000 0.000 Cu
0.500 0.000 0.000 Nb
0.000 0.500 0.000 Nb
0.000 0.000 0.500 Sc
0.500 0.500 0.500 Ag
```

Properties
- E_form: 0.922 eV/atom
- Crystal system: tetragonal

No. 2
First-principles (GGA-PBEsol) data for an optimized crystal structure of P2PtN, as listed in Alexandria via LeMat-Bulk.

Geometry as POSCAR:
```
P2PtN
1.0
-4.809 0.234 -0.967
-0.995 -1.147 4.670
2.899 5.071 -0.719
Pt P N
2 4 2
Direct
0.000 0.000 0.000 Pt
0.250 0.750 0.500 Pt
0.625 0.567 0.750 P
0.817 0.375 0.250 P
0.125 0.183 0.750 P
0.433 0.875 0.250 P
0.750 0.250 0.500 N
0.500 0.500 0.000 N
```

Properties
- E_form (uncorrected): 0.65 eV per formula unit
- Crystal system: tetragonal

No. 3
First-principles (GGA-PBEsol) data for an optimized crystal structure of YHSO5, as listed in Alexandria via LeMat-Bulk.

Geometry as POSCAR:
```
YHSO5
1.0
7.926 0.001 0.000
-0.538 8.057 0.000
0.000 0.000 10.890
S O H Y
8 40 8 8
Direct
0.956 0.367 0.691 S
0.544 0.133 0.191 S
0.456 0.867 0.809 S
0.500 0.634 0.170 S
0.044 0.633 0.309 S
0.000 0.134 0.330 S
0.000 0.866 0.670 S
0.500 0.366 0.830 S
0.927 0.284 0.375 O
0.427 0.784 0.125 O
0.561 0.656 0.301 O
0.629 0.143 0.513 O
0.146 0.098 0.406 O
0.646 0.598 0.094 O
0.616 0.295 0.237 O
0.600 0.630 0.546 O
0.986 0.482 0.795 O
0.573 0.216 0.875 O
0.621 0.852 0.873 O
0.629 0.506 0.828 O
0.667 0.068 0.104 O
0.073 0.716 0.625 O
0.129 0.006 0.672 O
0.371 0.494 0.172 O
0.116 0.795 0.263 O
0.400 0.370 0.454 O
0.371 0.857 0.487 O
0.486 0.982 0.705 O
0.514 0.018 0.295 O
0.333 0.932 0.896 O
0.900 0.870 0.046 O
0.379 0.148 0.127 O
0.871 0.357 0.013 O
0.854 0.902 0.594 O
0.833 0.432 0.604 O
0.439 0.344 0.699 O
0.100 0.130 0.954 O
0.014 0.518 0.205 O
0.061 0.156 0.199 O
0.129 0.643 0.987 O
0.167 0.568 0.396 O
0.884 0.205 0.737 O
0.121 0.352 0.627 O
0.384 0.705 0.763 O
0.939 0.844 0.801 O
0.879 0.648 0.373 O
0.354 0.402 0.906 O
0.871 0.994 0.328 O
0.803 0.357 0.089 H
0.303 0.857 0.411 H
0.697 0.143 0.589 H
0.669 0.614 0.619 H
0.831 0.886 0.119 H
0.331 0.386 0.381 H
0.169 0.114 0.881 H
0.197 0.643 0.911 H
0.660 0.872 0.439 Y
0.686 0.410 0.424 Y
0.160 0.372 0.061 Y
0.186 0.910 0.076 Y
0.314 0.590 0.576 Y
0.814 0.090 0.924 Y
0.340 0.128 0.561 Y
0.840 0.628 0.939 Y
```

Properties
- Energy: -58.06 eV/f.u.
- Crystal system: monoclinic

No. 4
First-principles (GGA-PBEsol) data for an optimized crystal structure of YAsPd3, as listed in Alexandria via LeMat-Bulk.

Geometry as POSCAR:
```
YAsPd3
1.0
4.630 0.000 0.000
0.000 4.630 0.000
0.000 0.000 4.630
Y Pd As
1 3 1
Direct
0.500 0.500 0.500 Y
0.500 0.000 0.000 Pd
0.000 0.500 0.000 Pd
0.000 0.000 0.500 Pd
0.000 0.000 0.000 As
```

Properties
- E_form: -0.465 eV/atom
- Crystal system: cubic

No. 5
First-principles (GGA-PBEsol) data for an optimized crystal structure of TiB2Br, as listed in Alexandria via LeMat-Bulk.

Geometry as POSCAR:
```
TiB2Br
1.0
-0.069 0.139 -4.152
-3.391 -1.228 -2.064
-2.375 2.799 -1.946
B Ti Br
2 1 1
Direct
0.250 0.250 0.250 B
0.750 0.750 0.750 B
0.000 0.000 0.000 Ti
0.500 0.500 0.500 Br
```

Properties
- E_form (uncorrected): 6.31 eV per formula unit
- Crystal system: cubic

No. 6
First-principles (GGA-PBEsol) data for an optimized crystal structure of Al2Cu, as listed in Alexandria via LeMat-Bulk.

Geometry as POSCAR:
```
Al2Cu
1.0
-1.627 2.345 0.381
-3.443 -2.254 -0.827
1.397 0.327 3.945
Cu Al
1 2
Direct
0.000 0.000 0.000 Cu
0.747 0.333 0.667 Al
0.253 0.667 0.333 Al
```

Properties
- E_form: 0.043 eV/atom
- Crystal system: trigonal

Q: What is the formula in the first record?
A: ScNb2CuAg